The following is a DFT calculation (PBE-GGA) of a relaxed Ce2FeCo12B3 crystal.

Cell lengths 6.538, 6.538, 6.538 Å; angles 65.42, 65.42, 65.42 degrees
Atoms (fractional coordinates):
Ce  0.101  0.101  0.101
Ce  0.899  0.899  0.899
Fe  0.500  0.500  0.500
Co  0.072  0.653  0.653
Co  0.236  0.236  0.626
Co  0.236  0.626  0.236
Co  0.347  0.347  0.928
Co  0.347  0.928  0.347
Co  0.374  0.764  0.764
Co  0.626  0.236  0.236
Co  0.653  0.072  0.653
Co  0.653  0.653  0.072
Co  0.764  0.374  0.764
Co  0.764  0.764  0.374
Co  0.928  0.347  0.347
B  0.000  0.500  0.500
B  0.500  0.000  0.500
B  0.500  0.500  0.000

Summary:
Volume (Å³ per cell): 220.9
Total magnetization (μB per formula unit): 11.523
SG: R-3m
Energy of formation from the pure elements (meV/atom): 112
Raw total energy (eV per atom): -6.87


The following is a DFT calculation (PBE-GGA) of a relaxed Dy3ZnRh3 crystal.

Cell lengths 5.506, 5.506, 13.692 Å; angles 90.00, 90.00, 136.38 degrees
Atoms (fractional coordinates):
Dy  0.026  0.974  0.750
Dy  0.304  0.696  0.604
Dy  0.304  0.696  0.896
Dy  0.696  0.304  0.104
Dy  0.696  0.304  0.396
Dy  0.974  0.026  0.250
Zn  0.000  0.000  0.000
Zn  0.000  0.000  0.500
Rh  0.248  0.752  0.250
Rh  0.408  0.592  0.091
Rh  0.408  0.592  0.409
Rh  0.592  0.408  0.591
Rh  0.592  0.408  0.909
Rh  0.752  0.248  0.750

Summary:
Volume (Å³ per cell): 286.4
Total magnetization (μB per formula unit): 0.000
SG: Cmcm
Energy of formation from the pure elements (meV/atom): -800
Raw total energy (eV per atom): -6.10


The following is a DFT calculation (PBE-GGA) of a relaxed Ac3PrZn4 crystal.

Cell lengths 3.865, 3.865, 15.427 Å; angles 90.00, 90.00, 90.00 degrees
Atoms (fractional coordinates):
Ac  0.000  0.000  0.000
Ac  0.000  0.000  0.257
Ac  0.000  0.000  0.743
Pr  0.000  0.000  0.500
Zn  0.500  0.500  0.128
Zn  0.500  0.500  0.389
Zn  0.500  0.500  0.611
Zn  0.500  0.500  0.872

Summary:
Volume (Å³ per cell): 230.5
Total magnetization (μB per formula unit): 0.000
SG: P4/mmm
Energy of formation from the pure elements (meV/atom): -250
Raw total energy (eV per atom): -3.03


The following is a DFT calculation (PBE-GGA) of a relaxed NdSm2ErTl4 crystal.

Cell lengths 9.457, 9.457, 9.457 Å; angles 33.44, 33.44, 33.44 degrees
Atoms (fractional coordinates):
Nd  0.000  0.000  0.000
Sm  0.249  0.249  0.249
Sm  0.751  0.751  0.751
Er  0.500  0.500  0.500
Tl  0.126  0.126  0.126
Tl  0.377  0.377  0.377
Tl  0.623  0.623  0.623
Tl  0.874  0.874  0.874

Summary:
Volume (Å³ per cell): 228.8
Total magnetization (μB per formula unit): 0.000
SG: R-3m
Energy of formation from the pure elements (meV/atom): -360
Raw total energy (eV per atom): -3.89


The following is a DFT calculation (PBE-GGA) of a relaxed Ba2SrBr crystal.

Cell lengths 4.100, 4.100, 11.499 Å; angles 90.00, 90.00, 90.00 degrees
Atoms (fractional coordinates):
Ba  0.000  0.000  0.000
Ba  0.500  0.500  0.307
Sr  0.500  0.500  0.711
Br  0.000  0.000  0.517

Summary:
Formation energy from raw total energies (eV/atom): -0.65
Volume (Å³ per cell): 193.3
Energy relative to the lowest polymorph listed for this composition (eV/atom): 0.102
Total magnetization (μB per formula unit): 0.001
SG: P4mm
Raw total energy (eV per atom): -2.45


The following is a DFT calculation (PBE-GGA) of a relaxed ZnMoW crystal.

Cell lengths 4.820, 4.820, 4.820 Å; angles 148.07, 127.43, 62.84 degrees
Atoms (fractional coordinates):
Zn  0.000  0.000  0.000
Mo  0.665  0.665  0.000
W  0.336  0.336  0.000

Summary:
Volume (Å³ per cell): 46.6
Energy relative to the lowest polymorph listed for this composition (eV/atom): 0.058
Total magnetization (μB per formula unit): 0.000
SG: Imm2
Energy of formation from the pure elements (meV/atom): 194
Raw total energy (eV per atom): -8.16


The following is a DFT calculation (PBE-GGA) of a relaxed Tl3IBr4 crystal.

Cell lengths 6.706, 9.200, 12.039 Å; angles 90.00, 90.00, 90.00 degrees
Atoms (fractional coordinates):
Tl  0.250  0.007  0.180
Tl  0.250  0.250  0.612
Tl  0.250  0.493  0.180
Tl  0.750  0.507  0.820
Tl  0.750  0.750  0.388
Tl  0.750  0.993  0.820
I  0.250  0.750  0.875
I  0.750  0.250  0.125
Br  0.250  0.048  0.871
Br  0.250  0.250  0.359
Br  0.250  0.452  0.871
Br  0.250  0.750  0.349
Br  0.750  0.250  0.651
Br  0.750  0.548  0.129
Br  0.750  0.750  0.641
Br  0.750  0.952  0.129

Summary:
Formation energy from raw total energies (eV/atom): -0.62
Volume (Å³ per cell): 742.8
Total magnetization (μB per formula unit): 0.000
SG: Pmmn
Raw total energy (eV per atom): -2.54


The following is a DFT calculation (PBE-GGA) of a relaxed TeRhSe2 crystal.

Cell lengths 3.058, 3.058, 9.283 Å; angles 90.00, 90.00, 90.00 degrees
Atoms (fractional coordinates):
Te  0.000  0.000  0.000
Rh  0.500  0.500  0.217
Se  0.000  0.000  0.372
Se  0.500  0.500  0.681

Summary:
Formation energy from raw total energies (eV/atom): 0.13
Volume (Å³ per cell): 86.8
Total magnetization (μB per formula unit): 0.000
SG: P4mm
Raw total energy (eV per atom): -4.24


The following is a DFT calculation (PBE-GGA) of a relaxed ZnPt2Cl crystal.

Cell lengths 4.537, 4.537, 4.537 Å; angles 60.00, 60.00, 60.00 degrees
Atoms (fractional coordinates):
Zn  0.000  0.000  0.000
Pt  0.250  0.250  0.250
Pt  0.500  0.500  0.500
Cl  0.750  0.750  0.750

Summary:
Formation energy from raw total energies (eV/atom): 0.28
Volume (Å³ per cell): 66.0
Energy relative to the lowest polymorph listed for this composition (eV/atom): 0.368
Total magnetization (μB per formula unit): 0.001
SG: F-43m
Raw total energy (eV per atom): -3.52


The following is a DFT calculation (PBE-GGA) of a relaxed Ca2TaSb crystal.

Cell lengths 3.688, 3.688, 8.355 Å; angles 90.00, 90.00, 90.00 degrees
Atoms (fractional coordinates):
Ca  0.000  0.000  0.000
Ca  0.500  0.500  0.367
Ta  0.500  0.500  0.756
Sb  0.000  0.000  0.613

Summary:
Formation energy from raw total energies (eV/atom): 0.01
Volume (Å³ per cell): 113.7
Total magnetization (μB per formula unit): 0.000
SG: P4mm
Raw total energy (eV per atom): -4.98


The following is a DFT calculation (PBE-GGA) of a relaxed Cd2MoRu crystal.

Cell lengths 4.812, 4.812, 5.275 Å; angles 97.91, 97.91, 35.27 degrees
Atoms (fractional coordinates):
Cd  0.000  0.000  0.000
Cd  0.244  0.244  0.764
Mo  0.490  0.490  0.470
Ru  0.748  0.748  0.296

Summary:
Volume (Å³ per cell): 69.8
Energy relative to the lowest polymorph listed for this composition (eV/atom): 0.246
Total magnetization (μB per formula unit): 0.002
SG: Cm
Energy of formation from the pure elements (meV/atom): 364
Raw total energy (eV per atom): -5.12


The following is a DFT calculation (PBE-GGA) of a relaxed Ba2SnHgSe4 crystal.

Cell lengths 8.971, 8.971, 8.830 Å; angles 117.51, 117.51, 94.13 degrees
Atoms (fractional coordinates):
Ba  0.000  0.000  0.000
Ba  0.000  0.000  0.500
Ba  0.000  0.500  0.000
Ba  0.500  0.000  0.500
Sn  0.500  0.500  0.000
Sn  0.500  0.500  0.500
Hg  0.000  0.500  0.500
Hg  0.500  0.000  0.000
Se  0.229  0.711  0.502
Se  0.258  0.269  0.013
Se  0.269  0.258  0.513
Se  0.289  0.771  0.998
Se  0.711  0.229  0.002
Se  0.731  0.742  0.487
Se  0.742  0.731  0.987
Se  0.771  0.289  0.498

Summary:
Formation energy from raw total energies (eV/atom): -1.06
Volume (Å³ per cell): 521.0
Total magnetization (μB per formula unit): 0.000
SG: C2/c
Raw total energy (eV per atom): -3.82


Q: The highest volume belongs to which entry?
A: Tl3IBr4


Q: Which of these has the highest raw total energy?
A: Ba2SrBr